A plane-wave DFT calculation with PBE was carried out for La2Sm2N3 after structural relaxation.

Lattice parameters (Å, degrees): 3.6848 6.3995 6.4725 101.97 106.54 90.00
Closest atoms and distances in Å follow each position.
Atoms (fractional coordinates):
La 0.3773 0.1212 0.7546  5 N 2.56-2.77
La 0.6227 0.8788 0.2454  5 N 2.56-2.77
Sm 0.1385 0.3575 0.2771  4 N 2.40-2.58
Sm 0.8615 0.6425 0.7229  4 N 2.40-2.58
N 0.0000 0.0000 0.0000  2 Sm 2.55, 4 La 2.61
N 0.2585 0.7412 0.5169  3 Sm 2.40-2.58, 1 La 2.56
N 0.7415 0.2588 0.4831  3 Sm 2.40-2.58, 1 La 2.56

Excess energy over the best structure of this formula in the dataset: 0.000 eV/atom
Spin magnetization: 0.080 μB/atom
DOS(E_F): 0.59 states/eV per atom